Entry from the Alexandria database: Re2SbSe after structural relaxation (PBE-GGA).

The calculation puts the energy relative to the lowest polymorph listed for this composition at 0.419 eV/atom. Its raw formation energy is 2.4 eV/f.u. Its space-group type is Cmm2, No. 35.

Cell lengths 3.0258, 5.0597, 10.1961 Å; angles 90.00, 90.00, 90.00 degrees
With the nearest neighbours (Å) after each atom.
Atoms (fractional coordinates):
Re 0.0000 0.0000 0.0000  2 Re 2.58, 2 Sb 2.87
Re 0.0000 0.5000 0.2055  2 Re 2.58, 2 Se 2.61
Re 0.5000 0.0000 0.2055  2 Re 2.58, 2 Se 2.61
Re 0.5000 0.5000 0.0000  2 Re 2.58, 2 Sb 2.87
Sb 0.0000 0.5000 0.7609  2 Re 2.87, 6 Sb 2.95-3.03
Sb 0.5000 0.0000 0.7609  2 Re 2.87, 6 Sb 2.95-3.03
Se 0.0000 0.0000 0.4139  2 Re 2.61
Se 0.5000 0.5000 0.4139  2 Re 2.61